A.
Computed, not measured: crystalline MgBi2Se2 at its relaxed geometry at the PBE-GGA level of DFT.

Cell lengths 4.276, 4.276, 16.375 Å; angles 90.00, 90.00, 90.00 degrees
Space group I4/mmm (No. 139)
Inequivalent atoms, fractional coordinates:
Mg 0.000 0.000 0.000 x2
Bi 0.000 0.500 0.250 x4
Se 0.000 0.000 0.419 x4

Properties
V   299 Å³ per cell


B.
Computed, not measured: crystalline MgBi2Se2 at its relaxed geometry at the PBE-GGA level of DFT.

Cell lengths 7.049, 7.049, 5.785 Å; angles 90.00, 90.00, 90.00 degrees
Space group P4/mbm (No. 127)
Inequivalent atoms, fractional coordinates:
Mg 0.000 0.000 0.000 x2
Bi 0.217 0.283 0.500 x4
Se 0.172 0.328 0.000 x4

Properties
V   287 Å³ per cell


Computed relative energies in units of meV/atom: A 395; B 0


A.
Computed, not measured: crystalline MgSiBi3 at its relaxed geometry at the PBE-GGA level of DFT.

Cell lengths 5.463, 5.463, 5.463 Å; angles 90.00, 90.00, 90.00 degrees
Space group Pm-3m (No. 221)
Inequivalent atoms, fractional coordinates:
Mg 0.000 0.000 0.000 x1
Si 0.500 0.500 0.500 x1
Bi 0.000 0.500 0.500 x3

Properties
V   163 Å³ per cell


B.
Computed, not measured: crystalline MgSiBi3 at its relaxed geometry at the PBE-GGA level of DFT.

Cell lengths 5.471, 5.471, 5.471 Å; angles 90.00, 90.00, 90.00 degrees
Space group Pm-3m (No. 221)
Inequivalent atoms, fractional coordinates:
Mg 0.000 0.000 0.000 x1
Si 0.500 0.500 0.500 x1
Bi 0.000 0.000 0.500 x3

Properties
V   164 Å³ per cell


Computed relative energies in units of meV/atom: A 0; B 291


A.
Computed, not measured: crystalline Mg2SiBi2 at its relaxed geometry at the PBE-GGA level of DFT.

Cell lengths 8.736, 8.736, 3.459 Å; angles 90.00, 90.00, 90.00 degrees
Space group P4/mbm (No. 127)
Inequivalent atoms, fractional coordinates:
Mg 0.129 0.371 0.000 x4
Si 0.000 0.000 0.500 x2
Bi 0.172 0.672 0.500 x4

Properties
V   264 Å³ per cell


B.
Computed, not measured: crystalline Mg2SiBi2 at its relaxed geometry at the PBE-GGA level of DFT.

Cell lengths 4.440, 4.440, 14.687 Å; angles 90.00, 90.00, 90.00 degrees
Space group I4/mmm (No. 139)
Inequivalent atoms, fractional coordinates:
Mg 0.000 0.000 0.095 x4
Si 0.000 0.000 0.500 x2
Bi 0.000 0.500 0.250 x4

Properties
V   290 Å³ per cell


Computed relative energies in units of meV/atom: A 0; B 226


A.
Computed, not measured: crystalline Mg6SiBi at its relaxed geometry at the PBE-GGA level of DFT.

Cell lengths 4.966, 6.080, 12.510 Å; angles 90.00, 90.00, 90.00 degrees
Space group Amm2 (No. 38)
Inequivalent atoms, fractional coordinates:
Mg 0.000 0.000 0.000 x2
Mg 0.000 0.241 0.753 x4
Mg 0.500 0.000 0.859 x2
Mg 0.500 0.243 0.584 x4
Si 0.000 0.000 0.567 x2
Bi 0.500 0.000 0.322 x2

Properties
V   378 Å³ per cell


B.
Computed, not measured: crystalline Mg6SiBi at its relaxed geometry at the PBE-GGA level of DFT.

Cell lengths 5.290, 6.341, 10.865 Å; angles 90.00, 90.00, 90.00 degrees
Space group Amm2 (No. 38)
Inequivalent atoms, fractional coordinates:
Mg 0.000 0.000 0.000 x2
Mg 0.000 0.000 0.495 x2
Mg 0.000 0.238 0.247 x4
Mg 0.500 0.250 0.080 x4
Si 0.500 0.000 0.337 x2
Bi 0.500 0.000 0.831 x2

Properties
V   364 Å³ per cell


Computed relative energies in units of meV/atom: A 0; B 38


A.
Computed, not measured: crystalline Mg14SiBi at its relaxed geometry at the PBE-GGA level of DFT.

Cell lengths 6.4484, 6.4484, 10.0403 Å; angles 90.00, 90.00, 120.00 degrees
Space group P-6m2 (No. 187)
Inequivalent atoms, fractional coordinates:
Mg 0.0000 0.0000 0.2481 x2
Mg 0.3256 0.1628 0.5000 x3
Mg 0.3368 0.1684 0.0000 x3
Mg 0.5016 0.0031 0.2631 x6
Si 0.3333 0.6667 0.5000 x1
Bi 0.3333 0.6667 0.0000 x1

Properties
V   362 Å³ per cell


B.
Computed, not measured: crystalline Mg14SiBi at its relaxed geometry at the PBE-GGA level of DFT.

Cell lengths 10.093, 6.775, 10.712 Å; angles 90.00, 90.00, 90.00 degrees
Space group Amm2 (No. 38)
Inequivalent atoms, fractional coordinates:
Mg 0.000 0.000 0.000 x2
Mg 0.000 0.000 0.498 x2
Mg 0.000 0.247 0.247 x4
Mg 0.244 0.000 0.818 x4
Mg 0.255 0.000 0.317 x4
Mg 0.257 0.235 0.567 x8
Mg 0.500 0.248 0.748 x4
Si 0.500 0.000 0.479 x2
Bi 0.500 0.000 0.995 x2

Properties
V   733 Å³ per cell


Computed relative energies in units of meV/atom: A 0; B 11


A.
Computed, not measured: crystalline MgSi2Bi2 at its relaxed geometry at the PBE-GGA level of DFT.

Cell lengths 3.521, 3.521, 19.332 Å; angles 90.00, 90.00, 90.00 degrees
Space group I4/mmm (No. 139)
Inequivalent atoms, fractional coordinates:
Mg 0.000 0.000 0.000 x2
Si 0.000 0.500 0.250 x4
Bi 0.000 0.000 0.392 x4

Properties
V   240 Å³ per cell


B.
Computed, not measured: crystalline MgSi2Bi2 at its relaxed geometry at the PBE-GGA level of DFT.

Cell lengths 6.965, 6.965, 4.977 Å; angles 90.00, 90.00, 90.00 degrees
Space group P4/mbm (No. 127)
Inequivalent atoms, fractional coordinates:
Mg 0.000 0.000 0.000 x2
Si 0.120 0.380 0.000 x4
Bi 0.207 0.707 0.500 x4

Properties
V   241 Å³ per cell


Computed relative energies in units of meV/atom: A 0; B 68